Entry from Alexandria: an optimized crystal structure of BaMg2VF8 (PBE with a Hubbard U).

## Properties
**Electronic total energy**: -67.08 eV per cell
**Calculated volume**: 14.69 A^3/atom

Cell: 5.1095 6.7534 5.1110 Å, 90.00 92.05 90.00°
Closest atoms and distances in Å follow each position.
Atoms (fractional coordinates):
Ba 0.0000 0.0000 0.0000  6 F 2.51-2.54
Mg 0.5000 0.2669 0.5000  6 F 1.97-2.15
Mg 0.5000 0.7331 0.5000  6 F 1.97-2.15
V 0.0000 0.5000 0.0000  6 F 2.12-2.24
F 0.2131 0.2926 0.2355  1 Mg 1.97, 1 V 2.12
F 0.2131 0.7074 0.2355  1 Mg 1.97, 1 V 2.12
F 0.3120 0.5000 0.7035  2 Mg 2.13, 1 V 2.24
F 0.3584 0.0000 0.6762  2 Mg 2.15, 1 F 2.35
F 0.6416 0.0000 0.3238  2 Mg 2.15, 1 F 2.35
F 0.6880 0.5000 0.2965  2 Mg 2.13, 1 V 2.24
F 0.7869 0.2926 0.7645  1 Mg 1.97, 1 V 2.12
F 0.7869 0.7074 0.7645  1 Mg 1.97, 1 V 2.12